HfFeCo2: optimized geometry, GGA-PBE.

## Properties
- formation enthalpy at 0 K (eV/f.u.) = -0.26

a = 4.196 Å, b = 4.196 Å, c = 4.196 Å
α = 60.00°, β = 60.00°, γ = 60.00°
Atoms (fractional coordinates):
Hf  0.250  0.250  0.250
Co  0.000  0.000  0.000
Co  0.750  0.750  0.750
Fe  0.500  0.500  0.500



RbZrCuTeS2: optimized geometry, GGA-PBE.

## Properties
- energy (eV/atom) = -5.1916

a = 8.336 Å, b = 8.336 Å, c = 10.427 Å
α = 90.00°, β = 90.00°, γ = 153.29°
Atoms (fractional coordinates):
Zr  0.500  0.500  0.000
Zr  0.500  0.500  0.500
S  0.900  0.100  0.067
S  0.900  0.100  0.433
S  0.100  0.900  0.933
S  0.100  0.900  0.567
Cu  0.978  0.022  0.250
Cu  0.022  0.978  0.750
Te  0.413  0.587  0.750
Te  0.587  0.413  0.250
Rb  0.721  0.279  0.750
Rb  0.279  0.721  0.250



RePPbO: optimized geometry, GGA-PBE.

## Properties
- energy relative to the lowest polymorph listed for this composition (meV/atom) = 64

a = 3.227 Å, b = 6.614 Å, c = 7.477 Å
α = 90.00°, β = 90.00°, γ = 90.00°
Atoms (fractional coordinates):
Re  0.000  0.463  0.997
Re  0.000  0.537  0.497
O  0.000  0.538  0.749
O  0.000  0.462  0.249
Pb  0.500  0.167  0.571
Pb  0.500  0.833  0.071
P  0.500  0.785  0.438
P  0.500  0.215  0.938



HfBeSi: optimized geometry, GGA-PBE.

## Properties
- energy relative to the lowest polymorph listed for this composition (meV/atom) = 1041

a = 4.267 Å, b = 4.267 Å, c = 4.267 Å
α = 60.00°, β = 60.00°, γ = 60.00°
Atoms (fractional coordinates):
Be  0.250  0.250  0.250
Hf  0.000  0.000  0.000
Si  0.750  0.750  0.750



SmZrNi: optimized geometry, GGA-PBE.

## Properties
- energy relative to the lowest polymorph listed for this composition (meV/atom) = 767
- formation enthalpy at 0 K (eV/f.u.) = 2.60

a = 4.589 Å, b = 4.589 Å, c = 4.589 Å
α = 60.00°, β = 60.00°, γ = 60.00°
Atoms (fractional coordinates):
Zr  0.750  0.750  0.750
Ni  0.250  0.250  0.250
Sm  0.000  0.000  0.000



MgTcNiAs: optimized geometry, GGA-PBE.

## Properties
- energy relative to the lowest polymorph listed for this composition (meV/atom) = 0

a = 4.285 Å, b = 4.285 Å, c = 4.285 Å
α = 60.00°, β = 60.00°, γ = 60.00°
Atoms (fractional coordinates):
As  0.000  0.000  0.000
Mg  0.500  0.500  0.500
Ni  0.750  0.750  0.750
Tc  0.250  0.250  0.250



DyAl2Hg: optimized geometry, GGA-PBE.

## Properties
- energy relative to the lowest polymorph listed for this composition (meV/atom) = 6

a = 4.834 Å, b = 6.346 Å, c = 6.346 Å
α = 120.76°, β = 90.00°, γ = 90.00°
Atoms (fractional coordinates):
Dy  0.250  0.664  0.331
Dy  0.750  0.331  0.664
Al  0.250  0.155  0.304
Al  0.250  0.160  0.860
Al  0.750  0.860  0.160
Al  0.750  0.304  0.155
Hg  0.250  0.675  0.850
Hg  0.750  0.850  0.675



Au: optimized geometry, GGA-PBE.

## Properties
- energy relative to the lowest polymorph listed for this composition (meV/atom) = 21
- formation enthalpy at 0 K (eV/f.u.) = 0.02

a = 2.803 Å, b = 3.007 Å, c = 4.762 Å
α = 90.00°, β = 90.00°, γ = 62.22°
Atoms (fractional coordinates):
Au  0.843  0.315  0.250
Au  0.157  0.685  0.750



AlTlMo: optimized geometry, GGA-PBE.

## Properties
- energy (eV/atom) = -4.4937

a = 4.544 Å, b = 4.544 Å, c = 4.544 Å
α = 60.00°, β = 60.00°, γ = 60.00°
Atoms (fractional coordinates):
Mo  0.750  0.750  0.750
Al  0.250  0.250  0.250
Tl  0.000  0.000  0.000



BaSnHg: optimized geometry, GGA-PBE.

## Properties
- energy (eV/atom) = -2.3761

a = 5.747 Å, b = 5.747 Å, c = 7.089 Å
α = 90.00°, β = 90.00°, γ = 120.00°
Atoms (fractional coordinates):
Ba  0.667  0.333  0.250
Ba  0.333  0.667  0.750
Sn  0.667  0.333  0.750
Sn  0.333  0.667  0.250
Hg  0.000  0.000  0.500
Hg  0.000  0.000  0.000



NdAsN2O: optimized geometry, GGA-PBE.

## Properties
- energy (eV/atom) = -6.9782

a = 5.380 Å, b = 5.451 Å, c = 5.835 Å
α = 94.23°, β = 111.04°, γ = 119.22°
Atoms (fractional coordinates):
N  0.439  0.014  0.293
N  0.243  0.478  0.363
N  0.154  0.112  0.691
N  0.748  0.565  0.708
O  0.707  0.755  0.215
O  0.671  0.024  0.792
Nd  0.740  0.369  0.106
Nd  0.256  0.620  0.829
As  0.358  0.224  0.483
As  0.683  0.839  0.520



SmP2: optimized geometry, GGA-PBE.

## Properties
- energy (eV/atom) = -5.4787

a = 5.418 Å, b = 5.418 Å, c = 5.418 Å
α = 60.00°, β = 60.00°, γ = 60.00°
Atoms (fractional coordinates):
P  0.625  0.125  0.625
P  0.625  0.625  0.625
P  0.125  0.625  0.625
P  0.625  0.625  0.125
Sm  0.250  0.250  0.250
Sm  0.000  0.000  0.000



Calculated V in order - 13.1; 27.1; 20.0; 18.3; 22.8; 13.9; 20.9; 17.8; 22.1; 33.8; 13.3; 18.7 Å³ per atom